The following is a GGA-PBEsol calculation of a geometry-optimized Zn2FeIr structure, from Alexandria via LeMat-Bulk.

Crystal system: orthorhombic
Size of the total moment in μB per formula unit: 2.708
Formation energy from the elements in eV per atom: 0.06

```
data_Zn2FeIr
_chemical_formula_sum 'Zn4 Fe2 Ir2'
_cell_length_a 2.744
_cell_length_b 4.519
_cell_length_c 8.628
_cell_angle_alpha 90.00
_cell_angle_beta 90.00
_cell_angle_gamma 90.00
_symmetry_space_group_name_H-M 'C m m 2'
_symmetry_Int_Tables_number 35
loop_
_symmetry_equiv_pos_as_xyz
'x,y,z'
'-x,-y,z'
'-x,y,z'
'x,-y,z'
'x+1/2,y+1/2,z'
'-x+1/2,-y+1/2,z'
'-x+1/2,y+1/2,z'
'x+1/2,-y+1/2,z'
loop_
_atom_site_label
_atom_site_type_symbol
_atom_site_fract_x
_atom_site_fract_y
_atom_site_fract_z
Zn1 Zn 0.000 0.000 0.000
Zn2 Zn 0.000 0.500 0.258
Fe1 Fe 0.000 0.000 0.499
Ir1 Ir 0.000 0.500 0.742
```

***

The following is a GGA-PBEsol calculation of a geometry-optimized LaAsBr structure, from Alexandria via LeMat-Bulk.

Crystal system: trigonal
Raw formation energy in meV per atom: -909.0
Size of the total moment in μB per formula unit: 1.023

```
data_LaAsBr
_chemical_formula_sum 'La1 As1 Br1'
_cell_length_a 4.2812
_cell_length_b 4.2812
_cell_length_c 6.4044
_cell_angle_alpha 90.00
_cell_angle_beta 90.00
_cell_angle_gamma 120.00
_symmetry_space_group_name_H-M 'P 3 m 1'
_symmetry_Int_Tables_number 156
loop_
_symmetry_equiv_pos_as_xyz
'x,y,z'
'-y,x-y,z'
'-x+y,-x,z'
'-y,-x,z'
'-x+y,y,z'
'x,x-y,z'
loop_
_atom_site_label
_atom_site_type_symbol
_atom_site_fract_x
_atom_site_fract_y
_atom_site_fract_z
La1 La 0.0000 0.0000 0.0000
As1 As 0.3333 0.6667 0.7469
Br1 Br 0.6667 0.3333 0.2763
```

***

The following is a GGA-PBEsol calculation of a geometry-optimized PrNiAs structure, from Alexandria via LeMat-Bulk.

Crystal system: hexagonal
Size of the total moment in μB per formula unit: 0.000
Formation energy from the elements in eV per atom: -1.05

```
data_PrNiAs
_chemical_formula_sum 'Pr2 Ni2 As2'
_cell_length_a 4.0792
_cell_length_b 4.0792
_cell_length_c 8.0569
_cell_angle_alpha 90.00
_cell_angle_beta 90.00
_cell_angle_gamma 120.00
_symmetry_space_group_name_H-M 'P 63/m m c'
_symmetry_Int_Tables_number 194
_symmetry_space_group_name_Hall '-P 6c 2c'
loop_
_atom_site_label
_atom_site_type_symbol
_atom_site_fract_x
_atom_site_fract_y
_atom_site_fract_z
Pr1 Pr 0.0000 0.0000 0.0000
Ni1 Ni 0.3333 0.6667 0.2500
As1 As 0.3333 0.6667 0.7500
```

***

The following is a GGA-PBEsol calculation of a geometry-optimized TaRhPb structure, from Alexandria via LeMat-Bulk.

Crystal system: trigonal
Size of the total moment in μB per formula unit: 0.000
Formation energy from the elements in eV per atom: 0.18

```
data_TaRhPb
_chemical_formula_sum 'Ta1 Rh1 Pb1'
_cell_length_a 3.1052
_cell_length_b 3.1052
_cell_length_c 6.7929
_cell_angle_alpha 90.00
_cell_angle_beta 90.00
_cell_angle_gamma 120.00
_symmetry_space_group_name_H-M 'P 3 m 1'
_symmetry_Int_Tables_number 156
loop_
_symmetry_equiv_pos_as_xyz
'x,y,z'
'-y,x-y,z'
'-x+y,-x,z'
'-y,-x,z'
'-x+y,y,z'
'x,x-y,z'
loop_
_atom_site_label
_atom_site_type_symbol
_atom_site_fract_x
_atom_site_fract_y
_atom_site_fract_z
Ta1 Ta 0.0000 0.0000 0.0000
Rh1 Rh 0.6667 0.3333 0.2739
Pb1 Pb 0.3333 0.6667 0.6252
```

***

The following is a GGA-PBEsol calculation of a geometry-optimized Na4CdP2 structure, from Alexandria via LeMat-Bulk.

Crystal system: trigonal
Size of the total moment in μB per formula unit: 0.000
Formation energy from the elements in eV per atom: -0.31

```
data_Na4CdP2
_chemical_formula_sum 'Na12 Cd3 P6'
_cell_length_a 4.9741
_cell_length_b 4.9741
_cell_length_c 25.4000
_cell_angle_alpha 90.00
_cell_angle_beta 90.00
_cell_angle_gamma 120.00
_symmetry_space_group_name_H-M 'R -3 m'
_symmetry_Int_Tables_number 166
_symmetry_space_group_name_Hall '-R 3 2"'
loop_
_atom_site_label
_atom_site_type_symbol
_atom_site_fract_x
_atom_site_fract_y
_atom_site_fract_z
Na1 Na 0.0000 0.0000 0.0950
Na2 Na 0.0000 0.0000 0.2929
Cd1 Cd 0.0000 0.0000 0.5000
P1 P 0.0000 0.0000 0.4060
```

***

The following is a GGA-PBEsol calculation of a geometry-optimized Zr2TlCd structure, from Alexandria via LeMat-Bulk.

Crystal system: orthorhombic
Size of the total moment in μB per formula unit: 0.000
Formation energy from the elements in eV per atom: -0.18

```
data_Zr2TlCd
_chemical_formula_sum 'Zr4 Tl2 Cd2'
_cell_length_a 6.244
_cell_length_b 8.609
_cell_length_c 3.134
_cell_angle_alpha 90.00
_cell_angle_beta 90.00
_cell_angle_gamma 90.00
_symmetry_space_group_name_H-M 'C m m m'
_symmetry_Int_Tables_number 65
_symmetry_space_group_name_Hall '-C 2 2'
loop_
_atom_site_label
_atom_site_type_symbol
_atom_site_fract_x
_atom_site_fract_y
_atom_site_fract_z
Zr1 Zr 0.250 0.250 0.000
Tl1 Tl 0.000 0.000 0.500
Cd1 Cd 0.000 0.500 0.500
```

***

The following is a GGA-PBEsol calculation of a geometry-optimized ReMo2 structure, from Alexandria via LeMat-Bulk.

Crystal system: tetragonal
Size of the total moment in μB per formula unit: 0.000
Formation energy from the elements in eV per atom: 0.07
E above lowest polymorph in meV/atom: 11

```
data_ReMo2
_chemical_formula_sum 'Re2 Mo4'
_cell_length_a 3.108
_cell_length_b 3.108
_cell_length_c 9.359
_cell_angle_alpha 90.00
_cell_angle_beta 90.00
_cell_angle_gamma 90.00
_symmetry_space_group_name_H-M 'I 4/m m m'
_symmetry_Int_Tables_number 139
_symmetry_space_group_name_Hall '-I 4 2'
loop_
_atom_site_label
_atom_site_type_symbol
_atom_site_fract_x
_atom_site_fract_y
_atom_site_fract_z
Re1 Re 0.000 0.000 0.000
Mo1 Mo 0.000 0.000 0.333
```

***

The following is a GGA-PBEsol calculation of a geometry-optimized NaCaGe2 structure, from Alexandria via LeMat-Bulk.

Crystal system: cubic
Size of the total moment in μB per formula unit: 0.000
Formation energy from the elements in eV per atom: -0.20

```
data_NaCaGe2
_chemical_formula_sum 'Na4 Ca4 Ge8'
_cell_length_a 7.055
_cell_length_b 7.055
_cell_length_c 7.055
_cell_angle_alpha 90.00
_cell_angle_beta 90.00
_cell_angle_gamma 90.00
_symmetry_space_group_name_H-M 'F m -3 m'
_symmetry_Int_Tables_number 225
_symmetry_space_group_name_Hall '-F 4 2 3'
loop_
_atom_site_label
_atom_site_type_symbol
_atom_site_fract_x
_atom_site_fract_y
_atom_site_fract_z
Na1 Na 0.000 0.000 0.000
Ca1 Ca 0.000 0.000 0.500
Ge1 Ge 0.250 0.250 0.250
```

***

The following is a GGA-PBEsol calculation of a geometry-optimized MgZrCd2 structure, from Alexandria via LeMat-Bulk.

Crystal system: orthorhombic
Size of the total moment in μB per formula unit: 0.000
Formation energy from the elements in eV per atom: -0.10

```
data_MgZrCd2
_chemical_formula_sum 'Mg2 Zr2 Cd4'
_cell_length_a 6.359
_cell_length_b 8.897
_cell_length_c 2.931
_cell_angle_alpha 90.00
_cell_angle_beta 90.00
_cell_angle_gamma 90.00
_symmetry_space_group_name_H-M 'C m m m'
_symmetry_Int_Tables_number 65
_symmetry_space_group_name_Hall '-C 2 2'
loop_
_atom_site_label
_atom_site_type_symbol
_atom_site_fract_x
_atom_site_fract_y
_atom_site_fract_z
Mg1 Mg 0.000 0.000 0.000
Zr1 Zr 0.000 0.500 0.000
Cd1 Cd 0.250 0.250 0.500
```

***

The following is a GGA-PBEsol calculation of a geometry-optimized BaAlRh2 structure, from Alexandria via LeMat-Bulk.

Crystal system: orthorhombic
Size of the total moment in μB per formula unit: 0.000
Formation energy from the elements in eV per atom: 0.00
E above lowest polymorph in meV/atom: 0

```
data_BaAlRh2
_chemical_formula_sum 'Ba2 Al2 Rh4'
_cell_length_a 4.101
_cell_length_b 5.392
_cell_length_c 7.165
_cell_angle_alpha 90.00
_cell_angle_beta 90.00
_cell_angle_gamma 90.00
_symmetry_space_group_name_H-M 'I m m m'
_symmetry_Int_Tables_number 71
_symmetry_space_group_name_Hall '-I 2 2'
loop_
_atom_site_label
_atom_site_type_symbol
_atom_site_fract_x
_atom_site_fract_y
_atom_site_fract_z
Ba1 Ba 0.000 0.000 0.000
Al1 Al 0.000 0.000 0.500
Rh1 Rh 0.000 0.500 0.203
```

***

The following is a GGA-PBEsol calculation of a geometry-optimized CaCd2 structure, from Alexandria via LeMat-Bulk.

Crystal system: orthorhombic
Size of the total moment in μB per formula unit: 0.000
Formation energy from the elements in eV per atom: -0.29

```
data_CaCd2
_chemical_formula_sum 'Ca4 Cd8'
_cell_length_a 4.090
_cell_length_b 14.195
_cell_length_c 5.023
_cell_angle_alpha 90.00
_cell_angle_beta 90.00
_cell_angle_gamma 90.00
_symmetry_space_group_name_H-M 'C m c m'
_symmetry_Int_Tables_number 63
_symmetry_space_group_name_Hall '-C 2c 2'
loop_
_atom_site_label
_atom_site_type_symbol
_atom_site_fract_x
_atom_site_fract_y
_atom_site_fract_z
Ca1 Ca 0.000 0.089 0.250
Cd1 Cd 0.000 0.240 0.750
Cd2 Cd 0.000 0.409 0.250
```

***

The following is a GGA-PBEsol calculation of a geometry-optimized BaNa2CdI structure, from Alexandria via LeMat-Bulk.

Crystal system: tetragonal
Raw formation energy in meV per atom: -287.2
Size of the total moment in μB per formula unit: 0.001

```
data_BaNa2CdI
_chemical_formula_sum 'Ba1 Na2 Cd1 I1'
_cell_length_a 5.594
_cell_length_b 5.594
_cell_length_c 6.672
_cell_angle_alpha 90.00
_cell_angle_beta 90.00
_cell_angle_gamma 90.00
_symmetry_space_group_name_H-M 'P 4/m m m'
_symmetry_Int_Tables_number 123
_symmetry_space_group_name_Hall '-P 4 2'
loop_
_atom_site_label
_atom_site_type_symbol
_atom_site_fract_x
_atom_site_fract_y
_atom_site_fract_z
Ba1 Ba 0.000 0.000 0.000
Na1 Na 0.000 0.500 0.500
Cd1 Cd 0.000 0.000 0.500
I1 I 0.500 0.500 0.000
```